Record 1
The following is a DFT calculation (PBE-GGA) of Li2VH6 after structural relaxation.

Cell and atoms, written as POSCAR:
```
Li2VH6
1.0
0.000 3.387 3.387
3.387 0.000 3.387
3.387 3.387 0.000
Li V H
2 1 6
Cartesian
1.694 1.694 1.694 Li
5.081 5.081 5.081 Li
0.000 0.000 0.000 V
3.387 3.387 1.734 H
3.387 1.734 3.387 H
5.040 3.387 3.387 H
1.734 3.387 3.387 H
3.387 5.040 3.387 H
3.387 3.387 5.040 H
```

Uncorrected energy (eV/atom): -3.4719
DOS at the Fermi energy (states/eV per cell): 6.2
Crystal system: cubic
Spin magnetization (Bohr magnetons per cell): 1.09
Space-group type: No. 225
Calculated volume (Å³/atom): 8.64

Record 2
The following is a DFT calculation (PBE-GGA) of HoGeS3 after structural relaxation.

Cell and atoms, written as POSCAR:
```
HoGeS3
1.0
8.040 -2.020 0.000
8.040 2.020 0.000
-1.881 0.000 7.011
Ho Ge S
2 2 6
Cartesian
3.061 0.000 1.745 Ho
11.138 0.000 5.267 Ho
6.728 0.000 1.954 Ge
7.471 0.000 5.057 Ge
0.129 0.000 1.033 S
1.655 0.000 4.058 S
5.390 0.000 0.072 S
8.809 0.000 6.939 S
12.544 0.000 2.953 S
14.070 0.000 5.978 S
```

Uncorrected energy (eV/atom): -5.4052
Crystal system: monoclinic
Spin magnetization (Bohr magnetons per cell): 0.00
Space-group type: No. 12
Calculated volume (Å³/atom): 22.78

Record 3
The following is a DFT calculation (PBE-GGA) of AcYIn4 after structural relaxation.

Cell and atoms, written as POSCAR:
```
AcYIn4
1.0
8.765 0.000 0.000
0.000 21.181 0.000
0.000 0.000 3.717
Ac Y In
4 4 16
Cartesian
0.980 3.860 0.000 Ac
3.402 14.450 0.000 Ac
5.363 6.731 0.000 Ac
7.785 17.321 0.000 Ac
0.980 8.950 0.000 Y
3.403 19.540 0.000 Y
5.363 1.640 0.000 Y
7.785 12.230 0.000 Y
0.479 14.508 1.858 In
0.624 19.799 1.858 In
1.847 11.636 1.858 In
1.977 17.113 1.858 In
2.405 6.522 1.858 In
2.536 1.046 1.858 In
3.758 9.209 1.858 In
3.904 3.918 1.858 In
4.861 17.263 1.858 In
5.007 11.972 1.858 In
6.229 20.135 1.858 In
6.360 14.658 1.858 In
6.788 4.068 1.858 In
6.918 9.544 1.858 In
8.141 1.382 1.858 In
8.286 6.673 1.858 In
```

DOS at the Fermi energy (states/eV per cell): 16.7
Crystal system: orthorhombic
Spin magnetization (Bohr magnetons per cell): 0.00
Energy of formation (meV/atom): -372
Space-group type: No. 55
Calculated volume (Å³/atom): 28.75

Record 4
The following is a DFT calculation (PBE-GGA) of Ho2TmZr after structural relaxation.

Cell and atoms, written as POSCAR:
```
Ho2TmZr
1.0
4.833 0.000 0.000
0.000 4.833 0.000
0.000 0.000 4.822
Ho Tm Zr
2 1 1
Cartesian
0.000 2.416 0.000 Ho
2.416 0.000 0.000 Ho
0.000 0.000 2.411 Tm
2.416 2.416 2.411 Zr
```

DOS at the Fermi energy (states/eV per cell): 5.3
Crystal system: tetragonal
Spin magnetization (Bohr magnetons per cell): 0.00
Energy of formation (meV/atom): 83
Space-group type: No. 123
Calculated volume (Å³/atom): 28.16

Record 5
The following is a DFT calculation (PBE-GGA) of Cd7BiAu5 after structural relaxation.

Cell and atoms, written as POSCAR:
```
Cd7BiAu5
1.0
-2.837 4.963 4.935
2.837 -4.963 4.935
2.837 4.963 -4.935
Cd Bi Au
7 1 5
Cartesian
0.000 0.000 0.000 Cd
2.837 1.558 1.415 Cd
0.000 0.000 3.049 Cd
0.000 3.010 1.326 Cd
0.000 6.915 1.326 Cd
0.000 4.963 3.634 Cd
0.000 3.405 6.350 Cd
0.000 0.000 6.416 Bi
1.420 2.444 -1.106 Au
4.254 2.444 -1.106 Au
2.837 0.000 4.017 Au
-1.417 2.519 3.829 Au
1.417 2.519 3.829 Au
```

DOS at the Fermi energy (states/eV per cell): 1.8
Crystal system: orthorhombic
Spin magnetization (Bohr magnetons per cell): 0.00
Energy of formation (meV/atom): -120
Space-group type: No. 44
Calculated volume (Å³/atom): 21.37

Record 6
The following is a DFT calculation (PBE-GGA) of YCu2Ir after structural relaxation.

Cell and atoms, written as POSCAR:
```
YCu2Ir
1.0
3.264 0.000 0.000
0.000 3.264 0.000
0.000 0.000 6.266
Y Cu Ir
1 2 1
Cartesian
0.000 0.000 0.000 Y
0.000 0.000 3.106 Cu
1.632 1.632 1.983 Cu
1.632 1.632 4.551 Ir
```

DOS at the Fermi energy (states/eV per cell): 1.6
Crystal system: tetragonal
Spin magnetization (Bohr magnetons per cell): 0.00
Energy of formation (meV/atom): -162
Space-group type: No. 99
Calculated volume (Å³/atom): 16.69

Record 7
The following is a DFT calculation (PBE-GGA) of PaVMoC3 after structural relaxation.

Cell and atoms, written as POSCAR:
```
PaVMoC3
1.0
5.571 0.000 0.000
0.000 3.133 0.000
-1.889 0.000 8.056
Pa V Mo C
2 2 2 6
Cartesian
0.450 0.783 1.597 Pa
3.232 2.350 6.459 Pa
0.462 0.783 6.987 V
3.220 2.350 1.069 V
0.448 2.350 4.495 Mo
3.235 0.783 3.561 Mo
-0.852 0.783 5.308 C
-0.405 2.350 7.950 C
1.945 2.350 2.777 C
1.737 0.783 5.279 C
4.088 0.783 0.105 C
4.534 2.350 2.748 C
```

DOS at the Fermi energy (states/eV per cell): 6.3
Crystal system: monoclinic
Spin magnetization (Bohr magnetons per cell): 0.00
Energy of formation (meV/atom): -360
Space-group type: No. 11
Calculated volume (Å³/atom): 11.72

Record 8
The following is a DFT calculation (PBE-GGA) of ZrVAg2 after structural relaxation.

Cell and atoms, written as POSCAR:
```
ZrVAg2
1.0
-3.814 3.814 2.661
3.814 -3.814 2.661
3.814 3.814 -2.661
Zr V Ag
2 2 4
Cartesian
0.000 0.000 0.000 Zr
0.000 3.814 1.330 Zr
3.814 0.000 1.330 V
0.000 0.000 2.661 V
1.907 2.140 -0.665 Ag
5.488 1.907 0.665 Ag
1.907 1.674 1.996 Ag
-1.674 1.907 3.326 Ag
```

DOS at the Fermi energy (states/eV per cell): 8.1
Crystal system: tetragonal
Spin magnetization (Bohr magnetons per cell): 2.27
Energy of formation (meV/atom): 554
Space-group type: No. 122
Calculated volume (Å³/atom): 19.35

Record 9
The following is a DFT calculation (PBE-GGA) of NaPm2TlAu4 after structural relaxation.

Cell and atoms, written as POSCAR:
```
NaPm2TlAu4
1.0
2.545 1.470 8.273
-2.545 1.470 8.273
0.000 -2.939 8.273
Na Pm Tl Au
1 2 1 4
Cartesian
0.000 0.000 0.000 Na
0.000 0.000 6.102 Pm
0.000 0.000 18.717 Pm
0.000 0.000 12.410 Tl
0.000 0.000 3.005 Au
0.000 0.000 9.194 Au
0.000 0.000 15.626 Au
0.000 0.000 21.814 Au
```

DOS at the Fermi energy (states/eV per cell): 3.9
Crystal system: trigonal
Spin magnetization (Bohr magnetons per cell): 0.00
Energy of formation (meV/atom): -592
Space-group type: No. 166
Calculated volume (Å³/atom): 23.21

Record 10
The following is a DFT calculation (PBE-GGA) of Ac12Si3N5 after structural relaxation.

Cell and atoms, written as POSCAR:
```
Ac12Si3N5
1.0
-8.445 8.445 8.445
8.445 -8.445 8.445
8.445 8.445 -8.445
Ac Si N
48 12 20
Cartesian
2.537 -0.566 0.907 Ac
10.131 5.130 -4.789 Ac
10.982 0.566 0.907 Ac
10.131 -3.315 4.789 Ac
7.879 -0.907 2.537 Ac
13.234 -1.686 3.315 Ac
0.907 2.537 -0.566 Ac
11.761 3.656 -1.686 Ac
5.130 4.789 -1.686 Ac
7.538 2.537 0.566 Ac
-0.566 0.907 2.537 Ac
4.789 -1.686 5.130 Ac
7.879 7.538 -2.537 Ac
4.789 1.686 3.315 Ac
5.130 -4.789 10.131 Ac
7.538 -2.537 7.879 Ac
3.315 4.789 1.686 Ac
9.353 5.908 0.566 Ac
4.789 10.131 -3.315 Ac
7.879 0.907 5.908 Ac
2.537 7.879 -0.907 Ac
10.131 3.315 3.656 Ac
1.686 3.315 4.789 Ac
2.537 0.566 7.538 Ac
5.908 7.879 0.907 Ac
6.760 5.130 3.656 Ac
-1.686 5.130 4.789 Ac
5.908 0.566 9.353 Ac
0.566 7.538 2.537 Ac
3.656 -1.686 11.761 Ac
-0.907 2.537 7.879 Ac
5.130 3.656 6.760 Ac
0.907 10.982 0.566 Ac
3.315 13.234 -1.686 Ac
3.656 6.760 5.130 Ac
0.566 0.907 10.982 Ac
3.656 10.131 3.315 Ac
9.012 7.538 5.908 Ac
0.907 5.908 7.879 Ac
3.315 3.656 10.131 Ac
-3.315 4.789 10.131 Ac
7.538 5.908 9.012 Ac
-4.789 10.131 5.130 Ac
0.566 9.353 5.908 Ac
-1.686 11.761 3.656 Ac
-2.537 7.879 7.538 Ac
-1.686 3.315 13.234 Ac
5.908 9.012 7.538 Ac
4.223 2.111 0.000 Si
8.445 4.223 -2.111 Si
2.111 0.000 4.223 Si
10.557 0.000 4.223 Si
0.000 4.223 2.111 Si
4.223 -2.111 8.445 Si
4.223 10.557 0.000 Si
8.445 4.223 6.334 Si
-2.111 8.445 4.223 Si
6.334 8.445 4.223 Si
0.000 4.223 10.557 Si
4.223 6.334 8.445 Si
0.000 0.000 0.000 N
4.223 4.223 -4.223 N
4.223 -4.223 4.223 N
8.445 0.000 0.000 N
12.668 2.111 0.000 N
8.445 -4.223 6.334 N
6.334 8.445 -4.223 N
6.334 0.000 4.223 N
4.223 6.334 0.000 N
8.445 4.223 2.111 N
-4.223 4.223 4.223 N
0.000 8.445 0.000 N
0.000 0.000 8.445 N
4.223 4.223 4.223 N
0.000 4.223 6.334 N
4.223 2.111 8.445 N
2.111 8.445 4.223 N
2.111 0.000 12.668 N
0.000 12.668 2.111 N
-4.223 6.334 8.445 N
```

Uncorrected energy (eV/atom): -6.0288
DOS at the Fermi energy (states/eV per cell): 55.8
Crystal system: cubic
Spin magnetization (Bohr magnetons per cell): 0.00
Space-group type: No. 230
Calculated volume (Å³/atom): 30.12

Record 11
The following is a DFT calculation (PBE-GGA) of ReSiTc after structural relaxation.

Cell and atoms, written as POSCAR:
```
ReSiTc
1.0
4.458 0.000 0.000
1.135 4.438 0.000
1.579 -0.139 4.371
Re Si Tc
2 2 2
Cartesian
0.000 0.000 0.000 Re
3.347 3.974 1.604 Re
2.282 1.996 3.202 Si
5.020 3.671 3.372 Si
2.364 1.875 0.592 Tc
4.584 1.383 2.245 Tc
```

Uncorrected energy (eV/atom): -9.5706
DOS at the Fermi energy (states/eV per cell): 3.4
Crystal system: triclinic
Spin magnetization (Bohr magnetons per cell): 0.00
Space-group type: No. 1
Calculated volume (Å³/atom): 14.41

Record 12
The following is a DFT calculation (PBE-GGA) of AcCd3Ge2 after structural relaxation.

Cell and atoms, written as POSCAR:
```
AcCd3Ge2
1.0
8.400 -2.299 0.000
8.400 2.299 0.000
-4.841 0.000 7.793
Ac Cd Ge
2 6 4
Cartesian
1.358 0.000 1.817 Ac
10.601 0.000 5.976 Ac
-2.429 0.000 5.825 Cd
0.135 0.000 7.614 Cd
4.457 0.000 3.954 Cd
7.502 0.000 3.839 Cd
11.824 0.000 0.179 Cd
14.387 0.000 1.968 Cd
0.216 0.000 4.814 Ge
7.500 0.000 0.947 Ge
4.459 0.000 6.847 Ge
11.743 0.000 2.979 Ge
```

DOS at the Fermi energy (states/eV per cell): 4.5
Crystal system: monoclinic
Spin magnetization (Bohr magnetons per cell): 0.00
Energy of formation (meV/atom): -263
Space-group type: No. 12
Calculated volume (Å³/atom): 25.08